[1]
TcBiSe2Br | PBE | relaxed

## Properties
electronic total energy = -4.333 eV per atom
space group = No. 123
formation energy without anion corrections = 245 meV/atom
relative energy among the computed polymorphs = 0.000 eV/atom

abc: 4.899 4.899 5.132
angles: 90.00 90.00 90.00
Atoms (fractional coordinates):
Br (0.000, 0.000, 0.500)
Tc (0.000, 0.000, 0.000)
Bi (0.500, 0.500, 0.500)
Se (0.500, 0.000, 0.000)
Se (0.000, 0.500, 0.000)

[2]
BiTeSeBr2 | PBE | relaxed

## Properties
electronic total energy = -2.611 eV per atom
space group = No. 123
formation energy without anion corrections = 160 meV/atom
relative energy among the computed polymorphs = 0.000 eV/atom

abc: 5.744 5.744 5.670
angles: 90.00 90.00 90.00
Atoms (fractional coordinates):
Br (0.000, 0.500, 0.000)
Br (0.500, 0.000, 0.000)
Bi (0.000, 0.000, 0.000)
Te (0.500, 0.500, 0.500)
Se (0.000, 0.000, 0.500)

[3]
TiBiSeBr2 | PBE | relaxed

## Properties
electronic total energy = -4.075 eV per atom
space group = No. 123
formation energy without anion corrections = -354 meV/atom
relative energy among the computed polymorphs = 0.000 eV/atom

abc: 5.095 5.095 5.213
angles: 90.00 90.00 90.00
Atoms (fractional coordinates):
Br (0.000, 0.500, 0.000)
Br (0.500, 0.000, 0.000)
Se (0.000, 0.000, 0.500)
Bi (0.500, 0.500, 0.500)
Ti (0.000, 0.000, 0.000)

[4]
TlBiSe2Br | PBE | relaxed

## Properties
electronic total energy = -3.162 eV per atom
space group = No. 123
formation energy without anion corrections = -184 meV/atom
relative energy among the computed polymorphs = 0.000 eV/atom

abc: 5.524 5.524 5.858
angles: 90.00 90.00 90.00
Atoms (fractional coordinates):
Bi (0.000, 0.000, 0.000)
Tl (0.500, 0.500, 0.500)
Se (0.500, 0.000, 0.000)
Se (0.000, 0.500, 0.000)
Br (0.000, 0.000, 0.500)